Entry 1:
VASP calculation (PBE-GGA) on a geometry-optimized CsRbPt3 structure.

a b c (Å): 6.714 6.714 6.714
angles (deg): 140.18 133.94 62.49
Element x y z (fractional)
Cs  0.000  0.000  0.000
Rb  0.405  0.405  0.000
Pt  0.452  0.707  0.745
Pt  0.708  0.208  0.500
Pt  0.962  0.707  0.255

Properties
- V (Å³/atom) = 27.58


Entry 2:
VASP calculation (PBE-GGA) on a geometry-optimized LaHoIn2 structure.

a b c (Å): 3.821 3.821 7.770
angles (deg): 90.00 90.00 90.00
Element x y z (fractional)
La  0.000  0.000  0.000
Ho  0.000  0.000  0.500
In  0.500  0.500  0.271
In  0.500  0.500  0.729

Properties
- V (Å³/atom) = 28.36


no.,theoretical density (g/cm³),electronic total energy (eV per cell),total magnetization (Bohr magnetons per cell)
1,9.7,-20.343,0.091
2,7.8,-16.951,0.000